First-principles (PBE-GGA) data for an optimized crystal structure of TbGdMgSc, as listed in Alexandria.

Cell: 7.6342 7.6342 7.6342 Å, 90.00 90.00 90.00°
Closest atoms and distances in Å follow each position.
Space group F-43m (No. 216)
Inequivalent atoms, fractional coordinates:
Tb 0.0000 0.0000 0.0000 (multiplicity 4)  4 Sc 3.31, 4 Mg 3.31
Gd 0.0000 0.0000 0.5000 (multiplicity 4)  4 Mg 3.31, 4 Sc 3.31
Mg 0.2500 0.2500 0.2500 (multiplicity 4)  4 Tb 3.31, 4 Gd 3.31
Sc 0.2500 0.2500 0.7500 (multiplicity 4)  4 Gd 3.31, 4 Tb 3.31

- Formation energy from the elements: 21 meV per atom